Entry 1:
Pr6Ir2PbSe3: relaxed, PBE-GGA.

Values from the calculation:
- Crystal system: monoclinic
- Symmetry: C2/m
- Total DFT energy (no corrections): -6.2050 eV/atom
- Energy relative to the elements, uncorrected: -1341 kJ/mol of formula units

Lattice parameters (Å, degrees): 9.898 9.898 8.921 107.68 107.68 24.63
Positions (direct):
Pr  0.003  0.003  0.268
Pr  0.321  0.321  0.440
Pr  0.325  0.325  0.900
Pr  0.675  0.675  0.100
Pr  0.679  0.679  0.560
Pr  0.997  0.997  0.732
Ir  0.164  0.164  0.320
Ir  0.836  0.836  0.680
Pb  0.500  0.500  0.000
Se  0.163  0.163  0.827
Se  0.500  0.500  0.500
Se  0.837  0.837  0.173



Entry 2:
Pr6Te3Ir2Pb: relaxed, PBE-GGA.

Values from the calculation:
- Crystal system: monoclinic
- Symmetry: C2/m
- Total DFT energy (no corrections): -5.9495 eV/atom
- Energy relative to the elements, uncorrected: -1144 kJ/mol of formula units

Lattice parameters (Å, degrees): 10.123 10.123 9.178 106.55 106.55 24.77
Positions (direct):
Pr  0.014  0.014  0.260
Pr  0.321  0.321  0.439
Pr  0.329  0.329  0.884
Pr  0.671  0.671  0.116
Pr  0.679  0.679  0.561
Pr  0.986  0.986  0.740
Te  0.161  0.161  0.832
Te  0.500  0.500  0.500
Te  0.839  0.839  0.168
Ir  0.169  0.169  0.333
Ir  0.831  0.831  0.667
Pb  0.500  0.500  0.000



Entry 3:
IrPtPb3: relaxed, PBE-GGA.

Values from the calculation:
- Crystal system: cubic
- Symmetry: Pm-3m
- Total DFT energy (no corrections): -4.6753 eV/atom
- Formation energy: 12.22 kcal/mol of atoms

Lattice parameters (Å, degrees): 5.225 5.225 5.225 90.00 90.00 90.00
Positions (direct):
Ir  0.000  0.000  0.000
Pt  0.500  0.500  0.500
Pb  0.000  0.000  0.500
Pb  0.000  0.500  0.000
Pb  0.500  0.000  0.000



Entry 4:
IrPtPb2: relaxed, PBE-GGA.

Values from the calculation:
- Crystal system: monoclinic
- Symmetry: Cm
- Total DFT energy (no corrections): -5.3196 eV/atom
- Formation energy: 6.00 kcal/mol of atoms

Lattice parameters (Å, degrees): 5.623 5.623 5.216 105.17 105.17 31.73
Positions (direct):
Ir  0.000  0.000  0.000
Pt  0.307  0.307  0.673
Pb  0.550  0.550  0.516
Pb  0.749  0.749  0.142



Entry 5:
Ir2PtPb4: relaxed, PBE-GGA.

Values from the calculation:
- Crystal system: tetragonal
- Symmetry: I4/mmm
- Total DFT energy (no corrections): -5.0616 eV/atom
- Formation energy: 10.43 kcal/mol of atoms

Lattice parameters (Å, degrees): 7.599 7.599 7.599 138.34 138.34 60.38
Positions (direct):
Ir  0.094  0.094  0.000
Ir  0.906  0.906  0.000
Pt  0.500  0.500  0.000
Pb  0.000  0.500  0.500
Pb  0.293  0.293  0.000
Pb  0.500  0.000  0.500
Pb  0.707  0.707  0.000



Entry 6:
IrPtPb2: relaxed, PBE-GGA.

Values from the calculation:
- Crystal system: monoclinic
- Symmetry: C2/m
- Total DFT energy (no corrections): -5.2428 eV/atom
- Formation energy: 7.77 kcal/mol of atoms

Lattice parameters (Å, degrees): 4.796 4.796 3.623 92.70 92.70 98.45
Positions (direct):
Ir  0.000  0.000  0.000
Pt  0.500  0.500  0.000
Pb  0.000  0.500  0.500
Pb  0.500  0.000  0.500



Entry 7:
IrPt3Pb: relaxed, PBE-GGA.

Values from the calculation:
- Crystal system: cubic
- Symmetry: Pm-3m
- Total DFT energy (no corrections): -5.2460 eV/atom
- Formation energy: 20.58 kcal/mol of atoms

Lattice parameters (Å, degrees): 4.902 4.902 4.902 90.00 90.00 90.00
Positions (direct):
Ir  0.000  0.000  0.000
Pt  0.000  0.000  0.500
Pt  0.000  0.500  0.000
Pt  0.500  0.000  0.000
Pb  0.500  0.500  0.500



Entry 8:
IrPtPb2: relaxed, PBE-GGA.

Values from the calculation:
- Crystal system: cubic
- Symmetry: Fm-3m
- Total DFT energy (no corrections): -5.2394 eV/atom
- Formation energy: 7.85 kcal/mol of atoms

Lattice parameters (Å, degrees): 4.868 4.868 4.868 60.00 60.00 60.00
Positions (direct):
Ir  0.000  0.000  0.000
Pt  0.500  0.500  0.500
Pb  0.250  0.250  0.250
Pb  0.750  0.750  0.750